The following is a DFT calculation (PBE) of an optimized crystal structure of ScOs2Se.

For the total magnetic moment, the calculation gives 0.00 μB/f.u. Its raw formation energy is 0.146 eV/atom. For the theoretical density, the calculation gives 12.632 g/cm³. For the total energy, the calculation gives -63.38 eV/cell. The calculation puts the density of states at the Fermi level at 10.02 states/eV/cell.

The structure belongs to space group I4/mmm (No. 139); the cell edges are 3.713, 3.713 and 9.621 Å and the angles 90.00°, 90.00° and 90.00°. Symmetry generates all atoms from Sc at (0.000, 0.000, 0.000), Os at (0.000, 0.500, 0.250) and Se at (0.000, 0.000, 0.500).